No. 1
Below is Sm2DyHo5 after structural relaxation, with properties calculated at the PBE level.

Summary:
ΔE to the lowest computed polymorph	0.0	meV per atom
E_tot	-4.598	eV/atom
spin magnetization	0.000	μB/cell
DOS(E_F)	1.261	states/eV per atom

Cell and atoms, written as CIF:
```
data_Sm2DyHo5
_chemical_formula_sum 'Sm4 Dy2 Ho10'
_symmetry_space_group_name_H-M 'P b a m'
_symmetry_Int_Tables_number 55
_cell_length_a 7.105
_cell_length_b 14.212
_cell_length_c 5.015
_cell_angle_alpha 90.00
_cell_angle_beta 90.00
_cell_angle_gamma 90.00
loop_
_symmetry_equiv_pos_as_xyz
'x,y,z'
'-x,-y,-z'
'-x,-y,z'
'x,y,-z'
'x+1/2,-y+1/2,-z'
'-x+1/2,y+1/2,z'
'-x+1/2,y+1/2,-z'
'x+1/2,-y+1/2,z'
loop_
_atom_site_label
_atom_site_fract_x
_atom_site_fract_y
_atom_site_fract_z
Sm1 0.250 0.125 0.000
Dy1 0.000 0.000 0.500
Ho1 0.000 0.250 0.500
Ho2 0.000 0.500 0.500
Ho3 0.250 0.375 0.000
```

No. 2
Below is CaCuBr3 after structural relaxation, with properties calculated at the PBE level.

Summary:
ΔE to the lowest computed polymorph	373.9	meV per atom
E_tot	-3.121	eV/atom
formation energy (no corrections)	-0.8976	eV per atom
spin magnetization	0.000	μB/cell
DOS(E_F)	0.144	states/eV per atom

Cell and atoms, written as CIF:
```
data_CaCuBr3
_chemical_formula_sum 'Ca1 Cu1 Br3'
_symmetry_space_group_name_H-M 'P m -3 m'
_symmetry_Int_Tables_number 221
_symmetry_space_group_name_Hall '-P 4 2 3'
_cell_length_a 5.112
_cell_length_b 5.112
_cell_length_c 5.112
_cell_angle_alpha 90.00
_cell_angle_beta 90.00
_cell_angle_gamma 90.00
loop_
_atom_site_label
_atom_site_fract_x
_atom_site_fract_y
_atom_site_fract_z
Ca1 0.000 0.000 0.000
Cu1 0.500 0.500 0.500
Br1 0.000 0.500 0.500
```

No. 3
Below is NbCr2 after structural relaxation, with properties calculated at the PBE level.

Summary:
E_tot	-9.823	eV/atom
spin magnetization	0.000	μB/cell
DOS(E_F)	1.065	states/eV per atom

Cell and atoms, written as CIF:
```
data_NbCr2
_chemical_formula_sum 'Nb8 Cr16'
_symmetry_space_group_name_H-M 'P 63/m m c'
_symmetry_Int_Tables_number 194
_symmetry_space_group_name_Hall '-P 6c 2c'
_cell_length_a 4.9209
_cell_length_b 4.9209
_cell_length_c 16.0373
_cell_angle_alpha 90.00
_cell_angle_beta 90.00
_cell_angle_gamma 120.00
loop_
_atom_site_label
_atom_site_fract_x
_atom_site_fract_y
_atom_site_fract_z
Nb1 0.0000 0.0000 0.0948
Nb2 0.3333 0.6667 0.1561
Cr1 0.0000 0.5000 0.0000
Cr2 0.1641 0.3283 0.7500
Cr3 0.3333 0.6667 0.6234
```